# AgI3Br9

A relaxed structure of AgI3Br9 (PBE, the Alexandria database).

Lattice parameters (Å, degrees): 11.4309 11.4309 13.1603 116.45 116.45 62.56
Fractional coordinates of all 26 atoms:
Ag: 0.1759 0.8241 0.5000
Ag: 0.8241 0.1759 0.0000
I: 0.1871 0.2333 0.7010
I: 0.2333 0.1871 0.2010
I: 0.3735 0.5695 0.1720
I: 0.5695 0.3735 0.6720
I: 0.6702 0.8410 0.0058
I: 0.8410 0.6702 0.5058
Br: 0.0572 0.4740 0.8211
Br: 0.1526 0.9158 0.7190
Br: 0.1666 0.7669 0.2764
Br: 0.3116 0.3666 0.1817
Br: 0.3313 0.9711 0.5689
Br: 0.3666 0.3116 0.6817
Br: 0.3985 0.5423 0.5431
Br: 0.4018 0.8868 0.8580
Br: 0.4740 0.0572 0.3211
Br: 0.5423 0.3985 0.0431
Br: 0.6479 0.6791 0.0803
Br: 0.6791 0.6479 0.5803
Br: 0.7159 0.9794 0.8991
Br: 0.7669 0.1666 0.7764
Br: 0.8868 0.4018 0.3580
Br: 0.9158 0.1526 0.2190
Br: 0.9711 0.3313 0.0689
Br: 0.9794 0.7159 0.3991

Summary:
Formation energy without anion corrections, eV per atom: -0.047
DOS at the Fermi energy, states/eV/f.u.: 5.86
Total magnetic moment, μB/f.u.: 0.49